# MgMn2Zn PBEsol relaxed
data_MgMn2Zn
_chemical_formula_sum 'Mg1 Mn2 Zn1'
_symmetry_space_group_name_H-M 'P m m m'
_symmetry_Int_Tables_number 47
_cell_length_a 2.8171
_cell_length_b 3.6122
_cell_length_c 5.6131
_cell_angle_alpha 90.00
_cell_angle_beta 90.00
_cell_angle_gamma 90.00
loop_
_symmetry_equiv_pos_as_xyz
'x,y,z'
'-x,-y,-z'
'-x,-y,z'
'x,y,-z'
'x,-y,-z'
'-x,y,z'
'-x,y,-z'
'x,-y,z'
loop_
_atom_site_label
_atom_site_fract_x
_atom_site_fract_y
_atom_site_fract_z
Mg1 0.0000 0.0000 0.0000
Mn1 0.5000 0.5000 0.2693
Zn1 0.0000 0.0000 0.5000
# Crystal system: orthorhombic
# Mass density in g/cm3: 5.80
# Raw total energy in eV per formula unit: -21.6
# V in Å³/cell: 57.1
# E_form in eV per formula unit: 1.2